No. 1
Here is a relaxed structure of BaAlZn2Co from the Alexandria database. Energies are from PBE-GGA.

Output
Formation enthalpy at 0 K (eV/atom): 1.47
VASP energy (eV per atom): -1.591
DOS at the Fermi energy (states/eV per cell): 6.3

Cell: 5.987 5.987 4.968 Å, 90.00 90.00 90.00°
Fractional positions:
Ba 0.000 0.000 0.000
Al 0.500 0.500 0.500
Zn 0.000 0.500 0.000
Zn 0.500 0.000 0.000
Co 0.000 0.000 0.500


No. 2
Here is a relaxed structure of Pu2CuNi from the Alexandria database. Energies are from PBE-GGA.

Output
Formation enthalpy at 0 K (eV/atom): 0.04
VASP energy (eV per atom): -9.591
DOS at the Fermi energy (states/eV per cell): 14.4

Cell: 3.612 3.612 5.957 Å, 90.00 90.00 90.00°
Fractional positions:
Pu 0.000 0.000 0.242
Pu 0.000 0.000 0.758
Cu 0.500 0.500 0.500
Ni 0.500 0.500 0.000


No. 3
Here is a relaxed structure of SmEuGeRh from the Alexandria database. Energies are from PBE-GGA.

Output
Formation enthalpy at 0 K (eV/atom): -0.52
VASP energy (eV per atom): -7.264
DOS at the Fermi energy (states/eV per cell): 9.4

Cell: 5.081 5.081 5.081 Å, 60.00 60.00 60.00°
Fractional positions:
Sm 0.000 0.000 0.000
Eu 0.500 0.500 0.500
Ge 0.250 0.250 0.250
Rh 0.750 0.750 0.750


No. 4
Here is a relaxed structure of Rb2Ba2In from the Alexandria database. Energies are from PBE-GGA.

Output
Formation enthalpy at 0 K (eV/atom): 0.08
VASP energy (eV per atom): -1.625
DOS at the Fermi energy (states/eV per cell): 21.2

Cell: 9.277 9.277 7.773 Å, 90.00 90.00 90.00°
Fractional positions:
Rb 0.177 0.323 0.000
Rb 0.323 0.823 0.000
Rb 0.677 0.177 0.000
Rb 0.823 0.677 0.000
Ba 0.168 0.668 0.500
Ba 0.332 0.168 0.500
Ba 0.668 0.832 0.500
Ba 0.832 0.332 0.500
In 0.000 0.000 0.500
In 0.500 0.500 0.500


No. 5
Here is a relaxed structure of NaSF2 from the Alexandria database. Energies are from PBE-GGA.

Output
VASP energy (eV per atom): -2.892
DOS at the Fermi energy (states/eV per cell): 2.8
Formation energy without anion corrections (eV per formula unit): -2.4

Cell: 8.045 8.045 8.045 Å, 21.23 21.23 21.23°
Fractional positions:
Na 0.000 0.000 0.000
S 0.500 0.500 0.500
F 0.085 0.085 0.085
F 0.915 0.915 0.915